## Sm2Dy3Tl6 (PBE)

Data for crystalline Sm2Dy3Tl6 at its relaxed geometry.

Structure (CIF):
```
data_Sm2Dy3Tl6
_chemical_formula_sum 'Sm4 Dy6 Tl12'
_space_group_name_H-M_alt 'I 4/m m m'
_space_group_IT_number 139
_space_group_name_Hall '-I 4 2'
_cell_length_a 5.930
_cell_length_b 5.930
_cell_length_c 22.447
_cell_angle_alpha 90.00
_cell_angle_beta 90.00
_cell_angle_gamma 90.00
loop_
_atom_site_label
_atom_site_fract_x
_atom_site_fract_y
_atom_site_fract_z
_atom_site_occupancy
Sm1 0.000 0.000 0.079 1
Dy1 0.000 0.000 0.358 1
Dy2 0.000 0.000 0.500 1
Tl1 0.000 0.000 0.219 1
Tl2 0.000 0.500 0.073 1
```

**Mass density**: 8.47 g cm⁻³
**Final energy**: -35.96 eV per formula unit

***

## Y2InO2 (PBE)

Data for crystalline Y2InO2 at its relaxed geometry.

Structure (CIF):
```
data_Y2InO2
_chemical_formula_sum 'Y4 In2 O4'
_space_group_name_H-M_alt 'P 4/m b m'
_space_group_IT_number 127
_space_group_name_Hall '-P 4 2ab'
_cell_length_a 7.302
_cell_length_b 7.302
_cell_length_c 3.125
_cell_angle_alpha 90.00
_cell_angle_beta 90.00
_cell_angle_gamma 90.00
loop_
_atom_site_label
_atom_site_fract_x
_atom_site_fract_y
_atom_site_fract_z
_atom_site_occupancy
Y1 0.153 0.347 0.000 1
In1 0.000 0.000 0.500 1
O1 0.124 0.624 0.500 1
```

**Mass density**: 6.47 g cm⁻³
**ΔE_f (raw)**: -1575 meV per atom
**Offset from the most stable computed form**: 0.401 eV per atom

***

## LaAlCd (PBE)

Data for crystalline LaAlCd at its relaxed geometry.

Structure (CIF):
```
data_LaAlCd
_chemical_formula_sum 'La6 Al6 Cd6'
_space_group_name_H-M_alt 'R 3 m'
_space_group_IT_number 160
_space_group_name_Hall 'R 3 -2"'
_cell_length_a 4.5347
_cell_length_b 4.5347
_cell_length_c 28.4519
_cell_angle_alpha 90.00
_cell_angle_beta 90.00
_cell_angle_gamma 120.00
loop_
_atom_site_label
_atom_site_fract_x
_atom_site_fract_y
_atom_site_fract_z
_atom_site_occupancy
La1 0.0000 0.0000 0.0000 1
La2 0.0000 0.0000 0.1491 1
Al1 0.0000 0.0000 0.4078 1
Al2 0.0000 0.0000 0.7438 1
Cd1 0.0000 0.0000 0.5905 1
Cd2 0.0000 0.0000 0.8810 1
```

**Mass density**: 5.47 g cm⁻³
**Final energy**: -10.44 eV per formula unit

***

## CaGdZnBi (PBE)

Data for crystalline CaGdZnBi at its relaxed geometry.

Structure (CIF):
```
data_CaGdZnBi
_chemical_formula_sum 'Ca4 Gd4 Zn4 Bi4'
_space_group_name_H-M_alt 'F -4 3 m'
_space_group_IT_number 216
_space_group_name_Hall 'F -4 2 3'
_cell_length_a 7.614
_cell_length_b 7.614
_cell_length_c 7.614
_cell_angle_alpha 90.00
_cell_angle_beta 90.00
_cell_angle_gamma 90.00
loop_
_atom_site_label
_atom_site_fract_x
_atom_site_fract_y
_atom_site_fract_z
_atom_site_occupancy
Ca1 0.000 0.000 0.000 1
Gd1 0.000 0.000 0.500 1
Zn1 0.250 0.250 0.250 1
Bi1 0.250 0.250 0.750 1
```

**Mass density**: 7.10 g cm⁻³
**Final energy**: -23.01 eV per formula unit

***

## Sr2DyTmSe4 (PBE)

Data for crystalline Sr2DyTmSe4 at its relaxed geometry.

Structure (CIF):
```
data_Sr2DyTmSe4
_chemical_formula_sum 'Sr2 Dy1 Tm1 Se4'
_space_group_name_H-M_alt 'P 1 2/m 1'
_space_group_IT_number 10
_space_group_name_Hall '-P 2y'
_cell_length_a 7.245
_cell_length_b 4.189
_cell_length_c 7.432
_cell_angle_alpha 90.00
_cell_angle_beta 109.02
_cell_angle_gamma 90.00
loop_
_atom_site_label
_atom_site_fract_x
_atom_site_fract_y
_atom_site_fract_z
_atom_site_occupancy
Sr1 0.000 0.000 0.000 1
Sr2 0.500 0.500 0.000 1
Dy1 0.000 0.500 0.500 1
Tm1 0.500 0.000 0.500 1
Se1 0.246 0.000 0.729 1
Se2 0.260 0.500 0.273 1
```

**Mass density**: 6.41 g cm⁻³
**ΔE_f (raw)**: -1860 meV per atom

***

## La2BeCu (PBE)

Data for crystalline La2BeCu at its relaxed geometry.

Structure (CIF):
```
data_La2BeCu
_chemical_formula_sum 'La8 Be4 Cu4'
_space_group_name_H-M_alt 'I -4 2 d'
_space_group_IT_number 122
_space_group_name_Hall 'I -4 2bw'
_cell_length_a 7.777
_cell_length_b 7.777
_cell_length_c 7.035
_cell_angle_alpha 90.00
_cell_angle_beta 90.00
_cell_angle_gamma 90.00
loop_
_atom_site_label
_atom_site_fract_x
_atom_site_fract_y
_atom_site_fract_z
_atom_site_occupancy
La1 0.245 0.750 0.125 1
Be1 0.000 0.000 0.500 1
Cu1 0.000 0.000 0.000 1
```

**Mass density**: 5.47 g cm⁻³
**Offset from the most stable computed form**: 0.409 eV per atom

***

## AlRu2Pb (PBE)

Data for crystalline AlRu2Pb at its relaxed geometry.

Structure (CIF):
```
data_AlRu2Pb
_chemical_formula_sum 'Al3 Ru6 Pb3'
_space_group_name_H-M_alt 'R -3 m'
_space_group_IT_number 166
_space_group_name_Hall '-R 3 2"'
_cell_length_a 3.1073
_cell_length_b 3.1073
_cell_length_c 24.3776
_cell_angle_alpha 90.00
_cell_angle_beta 90.00
_cell_angle_gamma 120.00
loop_
_atom_site_label
_atom_site_fract_x
_atom_site_fract_y
_atom_site_fract_z
_atom_site_occupancy
Al1 0.0000 0.0000 0.0000 1
Ru1 0.0000 0.0000 0.2572 1
Pb1 0.0000 0.0000 0.5000 1
```

**Mass density**: 10.66 g cm⁻³
**Offset from the most stable computed form**: 0.236 eV per atom

***

## Ti4Nb4Os (PBE)

Data for crystalline Ti4Nb4Os at its relaxed geometry.

Structure (CIF):
```
data_Ti4Nb4Os
_chemical_formula_sum 'Ti16 Nb16 Os4'
_space_group_name_H-M_alt 'F m m m'
_space_group_IT_number 69
_space_group_name_Hall '-F 2 2'
_cell_length_a 4.477
_cell_length_b 9.836
_cell_length_c 13.939
_cell_angle_alpha 90.00
_cell_angle_beta 90.00
_cell_angle_gamma 90.00
loop_
_atom_site_label
_atom_site_fract_x
_atom_site_fract_y
_atom_site_fract_z
_atom_site_occupancy
Ti1 0.000 0.000 0.174 1
Ti2 0.000 0.153 0.000 1
Nb1 0.000 0.168 0.339 1
Os1 0.000 0.000 0.500 1
```

**Mass density**: 8.15 g cm⁻³
**Final energy**: -84.51 eV per formula unit